Record 1
Below is a geometry-optimized Sc3GaSe4 structure, with properties calculated at the PBE level.

As for the theoretical density: 3.682 g/cm3. For the total DFT energy (no corrections), the calculation gives -89.1 eV/cell. Its energy relative to the elements, uncorrected is -1.075 eV/atom. As for the crystal system: orthorhombic.

The space group is Pmn2_1 (No. 31) and the conventional cell measures 8.311, 7.575 and 7.457 Å, with angles of 90.00, 90.00 and 90.00 degrees. The asymmetric unit holds Sc at (0.000, 0.241, 0.000), Sc at (0.212, 0.650, 0.016), Ga at (0.000, 0.880, 0.508), Se at (0.000, 0.235, 0.647), Se at (0.000, 0.892, 0.104) and Se at (0.241, 0.662, 0.667).


Record 2
Below is a geometry-optimized BaScOs2 structure, with properties calculated at the PBE level.

As for the theoretical density: 8.374 g/cm3. The calculated formation energy is 662 meV/atom. For the total DFT energy (no corrections), the calculation gives -112.3 eV/cell. The value obtained for the distance to the lowest polymorph of the same formula is 2.12 eV/f.u. As for the crystal system: tetragonal.

The space group is I-42d (No. 122) and the conventional cell measures 4.966, 4.966 and 18.099 Å, with angles of 90.00, 90.00 and 90.00 degrees. The asymmetric unit holds Ba at (0.000, 0.000, 0.000), Sc at (0.000, 0.000, 0.500) and Os at (0.024, 0.250, 0.625).


Record 3
Below is a geometry-optimized Ti6AsC2 structure, with properties calculated at the PBE level.

As for the theoretical density: 4.651 g/cm3. The calculated formation energy is -462 meV/atom. For the total DFT energy (no corrections), the calculation gives -149.2 eV/cell. As for the crystal system: monoclinic.

The space group is C2/m (No. 12) and the conventional cell measures 10.105, 4.159 and 7.374 Å, with angles of 90.00, 117.16 and 90.00 degrees. The asymmetric unit holds Ti at (0.017, 0.000, 0.185), Ti at (0.168, 0.500, 0.583), Ti at (0.188, 0.500, 0.078), As at (0.000, 0.000, 0.500) and C at (0.184, 0.000, 0.093).


Record 4
Below is a geometry-optimized YHoTl2 structure, with properties calculated at the PBE level.

As for the theoretical density: 10.137 g/cm3. The calculated formation energy is -354 meV/atom. For the total DFT energy (no corrections), the calculation gives -17.2 eV/cell. As for the crystal system: tetragonal.

The space group is P4/mmm (No. 123) and the conventional cell measures 3.785, 3.785 and 7.578 Å, with angles of 90.00, 90.00 and 90.00 degrees. The asymmetric unit holds Y at (0.000, 0.000, 0.000), Ho at (0.000, 0.000, 0.500) and Tl at (0.500, 0.500, 0.252).


Record 5
Below is a geometry-optimized NiAg2Pb structure, with properties calculated at the PBE level.

As for the theoretical density: 10.670 g/cm3. The calculated formation energy is 199 meV/atom. For the total DFT energy (no corrections), the calculation gives -14.4 eV/cell. As for the crystal system: monoclinic.

The space group is Pm (No. 6) and the conventional cell measures 3.365, 3.271 and 6.809 Å, with angles of 90.00, 90.33 and 90.00 degrees. The asymmetric unit holds Ni at (0.000, 0.000, 0.000), Ag at (0.499, 0.500, 0.791), Ag at (0.998, 0.000, 0.555) and Pb at (0.501, 0.500, 0.232).


Record 6
Below is a geometry-optimized Ac7TbPm3 structure, with properties calculated at the PBE level.

As for the theoretical density: 7.686 g/cm3. The calculated formation energy is 268 meV/atom. For the total DFT energy (no corrections), the calculation gives -89.4 eV/cell. As for the crystal system: monoclinic.

The space group is C2/m (No. 12) and the conventional cell measures 12.297, 11.158 and 6.921 Å, with angles of 90.00, 96.70 and 90.00 degrees. The asymmetric unit holds Ac at (0.000, 0.000, 0.000), Ac at (0.237, 0.500, 0.228), Ac at (0.248, 0.329, 0.740), Tb at (0.000, 0.000, 0.500), Pm at (0.000, 0.337, 0.000) and Pm at (0.000, 0.500, 0.500).


Record 7
Below is a geometry-optimized HoTmZnOs structure, with properties calculated at the PBE level.

As for the theoretical density: 12.041 g/cm3. The calculated formation energy is -318 meV/atom. For the total DFT energy (no corrections), the calculation gives -91.3 eV/cell. As for the crystal system: cubic.

The space group is F-43m (No. 216) and the conventional cell measures 6.877, 6.877 and 6.877 Å, with angles of 90.00, 90.00 and 90.00 degrees. The asymmetric unit holds Ho at (0.000, 0.000, 0.000), Tm at (0.000, 0.000, 0.500), Zn at (0.250, 0.250, 0.750) and Os at (0.250, 0.250, 0.250).


Record 8
Below is a geometry-optimized Pu2Sb5Rh3 structure, with properties calculated at the PBE level.

As for the theoretical density: 10.568 g/cm3. For the total DFT energy (no corrections), the calculation gives -306.6 eV/cell. Its energy relative to the elements, uncorrected is -0.532 eV/atom. As for the crystal system: orthorhombic.

The space group is Cmc2_1 (No. 36) and the conventional cell measures 4.564, 26.400 and 7.332 Å, with angles of 90.00, 90.00 and 90.00 degrees. The asymmetric unit holds Pu at (0.000, 0.023, 0.000), Pu at (0.000, 0.327, 0.983), Sb at (0.000, 0.096, 0.625), Sb at (0.000, 0.203, 0.187), Sb at (0.000, 0.214, 0.755), Sb at (0.000, 0.381, 0.504), Sb at (0.000, 0.455, 0.835), Rh at (0.000, 0.102, 0.254), Rh at (0.000, 0.279, 0.460) and Rh at (0.000, 0.446, 0.215).


Record 9
Below is a geometry-optimized Hf3BC structure, with properties calculated at the PBE level.

As for the theoretical density: 11.276 g/cm3. The calculated formation energy is 108 meV/atom. For the total DFT energy (no corrections), the calculation gives -45.2 eV/cell. The value obtained for the distance to the lowest polymorph of the same formula is 1.33 eV/f.u. As for the crystal system: cubic.

The space group is Pm-3m (No. 221) and the conventional cell measures 4.348, 4.348 and 4.348 Å, with angles of 90.00, 90.00 and 90.00 degrees. The asymmetric unit holds Hf at (0.000, 0.000, 0.500), B at (0.500, 0.500, 0.500) and C at (0.000, 0.000, 0.000).


Record 10
Below is a geometry-optimized PIrSe2 structure, with properties calculated at the PBE level.

As for the theoretical density: 7.164 g/cm3. For the total DFT energy (no corrections), the calculation gives -21.8 eV/cell. Its energy relative to the elements, uncorrected is -0.134 eV/atom. As for the crystal system: trigonal.

The space group is P3m1 (No. 156) and the conventional cell measures 3.6162, 3.6162 and 7.8000 Å, with angles of 90.00, 90.00 and 120.00 degrees. The asymmetric unit holds P at (0.0000, 0.0000, 0.0000), Ir at (0.6667, 0.3333, 0.1503), Se at (0.0000, 0.0000, 0.7233) and Se at (0.3333, 0.6667, 0.3305).


Record 11
Below is a geometry-optimized Cs2ReBr structure, with properties calculated at the PBE level.

As for the theoretical density: 4.907 g/cm3. For the total DFT energy (no corrections), the calculation gives -51.0 eV/cell. Its energy relative to the elements, uncorrected is 0.770 eV/atom. The value obtained for the distance to the lowest polymorph of the same formula is 0.00 eV/f.u. As for the crystal system: cubic.

The space group is Fm-3m (No. 225) and the conventional cell measures 8.963, 8.963 and 8.963 Å, with angles of 90.00, 90.00 and 90.00 degrees. The asymmetric unit holds Cs at (0.250, 0.250, 0.250), Re at (0.000, 0.000, 0.000) and Br at (0.000, 0.000, 0.500).


Record 12
Below is a geometry-optimized MoAs3Os structure, with properties calculated at the PBE level.

As for the theoretical density: 7.699 g/cm3. The calculated formation energy is 1196 meV/atom. For the total DFT energy (no corrections), the calculation gives -30.0 eV/cell. The value obtained for the distance to the lowest polymorph of the same formula is 0.00 eV/f.u. As for the crystal system: cubic.

The space group is Pm-3m (No. 221) and the conventional cell measures 4.794, 4.794 and 4.794 Å, with angles of 90.00, 90.00 and 90.00 degrees. The asymmetric unit holds Mo at (0.000, 0.000, 0.000), As at (0.000, 0.500, 0.500) and Os at (0.500, 0.500, 0.500).


Record 13
Below is a geometry-optimized ZrAs2PI structure, with properties calculated at the PBE level.

As for the theoretical density: 4.422 g/cm3. For the total DFT energy (no corrections), the calculation gives -17.2 eV/cell. Its energy relative to the elements, uncorrected is 1.524 eV/atom. As for the crystal system: tetragonal.

The space group is P4/mmm (No. 123) and the conventional cell measures 5.309, 5.309 and 5.316 Å, with angles of 90.00, 90.00 and 90.00 degrees. The asymmetric unit holds Zr at (0.000, 0.000, 0.000), As at (0.000, 0.500, 0.500), P at (0.500, 0.500, 0.000) and I at (0.000, 0.000, 0.500).


Record 14
Below is a geometry-optimized ReBr2Cl structure, with properties calculated at the PBE level.

As for the theoretical density: 6.717 g/cm3. For the total DFT energy (no corrections), the calculation gives -15.1 eV/cell. Its energy relative to the elements, uncorrected is 0.642 eV/atom. The value obtained for the distance to the lowest polymorph of the same formula is 2.82 eV/f.u. As for the crystal system: tetragonal.

The space group is P4mm (No. 99) and the conventional cell measures 3.105, 3.105 and 9.782 Å, with angles of 90.00, 90.00 and 90.00 degrees. The asymmetric unit holds Re at (0.000, 0.000, 0.000), Br at (0.000, 0.000, 0.464), Br at (0.500, 0.500, 0.144) and Cl at (0.500, 0.500, 0.832).


Record 15
Below is a geometry-optimized NdY4Bi2 structure, with properties calculated at the PBE level.

As for the theoretical density: 6.316 g/cm3. The calculated formation energy is 289 meV/atom. For the total DFT energy (no corrections), the calculation gives -72.7 eV/cell. As for the crystal system: tetragonal.

The space group is I4/mmm (No. 139) and the conventional cell measures 5.352, 5.352 and 16.845 Å, with angles of 90.00, 90.00 and 90.00 degrees. The asymmetric unit holds Nd at (0.000, 0.000, 0.000), Y at (0.000, 0.000, 0.182), Y at (0.000, 0.500, 0.000) and Bi at (0.000, 0.000, 0.366).


Record 16
Below is a geometry-optimized Np2NiP3 structure, with properties calculated at the PBE level.

As for the theoretical density: 9.622 g/cm3. The calculated formation energy is -797 meV/atom. For the total DFT energy (no corrections), the calculation gives -210.7 eV/cell. As for the crystal system: orthorhombic.

The space group is Pnma (No. 62) and the conventional cell measures 10.558, 3.885 and 10.529 Å, with angles of 90.00, 90.00 and 90.00 degrees. The asymmetric unit holds Np at (0.002, 0.250, 0.181), Np at (0.175, 0.750, 0.493), Ni at (0.241, 0.250, 0.716), P at (0.047, 0.250, 0.635), P at (0.133, 0.750, 0.047) and P at (0.232, 0.250, 0.311).


Record 17
Below is a geometry-optimized La5Er4Cd structure, with properties calculated at the PBE level.

As for the theoretical density: 7.370 g/cm3. The calculated formation energy is -37 meV/atom. For the total DFT energy (no corrections), the calculation gives -44.2 eV/cell. As for the crystal system: tetragonal.

The space group is P4/mmm (No. 123) and the conventional cell measures 3.745, 3.745 and 23.714 Å, with angles of 90.00, 90.00 and 90.00 degrees. The asymmetric unit holds La at (0.000, 0.000, 0.000), La at (0.000, 0.000, 0.203), La at (0.000, 0.000, 0.410), Er at (0.500, 0.500, 0.102), Er at (0.500, 0.500, 0.306) and Cd at (0.500, 0.500, 0.500).


Record 18
Below is a geometry-optimized SrBeIr2 structure, with properties calculated at the PBE level.

As for the theoretical density: 11.487 g/cm3. The calculated formation energy is 566 meV/atom. For the total DFT energy (no corrections), the calculation gives -41.7 eV/cell. As for the crystal system: tetragonal.

The space group is I-4m2 (No. 119) and the conventional cell measures 4.570, 4.570 and 6.658 Å, with angles of 90.00, 90.00 and 90.00 degrees. The asymmetric unit holds Sr at (0.000, 0.000, 0.000), Be at (0.000, 0.500, 0.750), Ir at (0.000, 0.000, 0.500) and Ir at (0.000, 0.500, 0.250).


Record 19
Below is a geometry-optimized Sm2Sc2Sn2C structure, with properties calculated at the PBE level.

As for the theoretical density: 6.314 g/cm3. The calculated formation energy is -812 meV/atom. For the total DFT energy (no corrections), the calculation gives -90.0 eV/cell. As for the crystal system: tetragonal.

The space group is I4/mmm (No. 139) and the conventional cell measures 4.573, 4.573 and 16.098 Å, with angles of 90.00, 90.00 and 90.00 degrees. The asymmetric unit holds Sm at (0.000, 0.000, 0.159), Sc at (0.000, 0.500, 0.000), Sn at (0.000, 0.000, 0.367) and C at (0.000, 0.000, 0.000).


Record 20
Below is a geometry-optimized Cs3Pu2Cl9 structure, with properties calculated at the PBE level.

As for the theoretical density: 4.001 g/cm3. For the total DFT energy (no corrections), the calculation gives -454.0 eV/cell. Its energy relative to the elements, uncorrected is -1.988 eV/atom. As for the crystal system: trigonal.

The space group is R-3c (No. 167, hexagonal axes) and the conventional cell measures 13.4778, 13.4778 and 19.0862 Å, with angles of 90.00, 90.00 and 120.00 degrees. The asymmetric unit holds Cs at (0.0000, 0.3401, 0.2500), Pu at (0.0000, 0.0000, 0.1505), Cl at (0.0000, 0.1519, 0.7500) and Cl at (0.0081, 0.1789, 0.4123).


Record 21
Below is a geometry-optimized Er3MgPb structure, with properties calculated at the PBE level.

As for the theoretical density: 8.726 g/cm3. The calculated formation energy is -163 meV/atom. For the total DFT energy (no corrections), the calculation gives -158.4 eV/cell. As for the crystal system: monoclinic.

The space group is C2/c (No. 15) and the conventional cell measures 16.244, 6.286 and 11.110 Å, with angles of 90.00, 100.21 and 90.00 degrees. The asymmetric unit holds Er at (0.046, 0.241, 0.497), Er at (0.100, 0.469, 0.250), Er at (0.196, 0.023, 0.747), Mg at (0.159, 0.277, 0.008), Pb at (0.000, 0.047, 0.750) and Pb at (0.250, 0.250, 0.500).


Record 22
Below is a geometry-optimized Pm2PrAu4 structure, with properties calculated at the PBE level.

As for the theoretical density: 10.502 g/cm3. The calculated formation energy is -636 meV/atom. For the total DFT energy (no corrections), the calculation gives -95.5 eV/cell. The value obtained for the distance to the lowest polymorph of the same formula is 0.00 eV/f.u. As for the crystal system: trigonal.

The space group is R-3m (No. 166, hexagonal axes) and the conventional cell measures 5.1184, 5.1184 and 25.4824 Å, with angles of 90.00, 90.00 and 120.00 degrees. The asymmetric unit holds Pm at (0.0000, 0.0000, 0.2386), Pr at (0.0000, 0.0000, 0.0000), Au at (0.0000, 0.0000, 0.1194) and Au at (0.0000, 0.0000, 0.3672).


Record 23
Below is a geometry-optimized SiPt2 structure, with properties calculated at the PBE level.

As for the theoretical density: 14.860 g/cm3. For the total DFT energy (no corrections), the calculation gives -76.3 eV/cell. Its energy relative to the elements, uncorrected is -0.523 eV/atom. As for the crystal system: monoclinic.

The space group is Cm (No. 8) and the conventional cell measures 9.874, 3.638 and 5.541 Å, with angles of 90.00, 110.05 and 90.00 degrees. The asymmetric unit holds Si at (0.000, 0.000, 0.000), Si at (0.196, 0.500, 0.489), Pt at (0.011, 0.000, 0.435), Pt at (0.118, 0.500, 0.861), Pt at (0.274, 0.000, 0.280) and Pt at (0.330, 0.000, 0.828).